# 1
The following is a DFT calculation (PBE-GGA) of YHfNiPt after structural relaxation.

Results
For the electronic total energy, the calculation gives -7.7390 eV per atom. Its space group is F-43m, No. 216. The calculation puts the density at 11.46 g/cm3.

Cell: 4.7446 4.7446 4.7446 Å, 60.00 60.00 60.00°
With the nearest neighbours (Å) after each atom.
Element x y z (fractional)
Y 0.5000 0.5000 0.5000  4 Ni 2.91, 4 Pt 2.91
Ni 0.2500 0.2500 0.2500  4 Hf 2.91, 4 Y 2.91
Hf 0.0000 0.0000 0.0000  4 Ni 2.91, 4 Pt 2.91
Pt 0.7500 0.7500 0.7500  4 Hf 2.91, 4 Y 2.91



# 2
The following is a DFT calculation (PBE-GGA) of HfZnNi2Pt after structural relaxation.

Results
For the electronic total energy, the calculation gives -5.1281 eV per atom. Its space group is P4/mmm, No. 123. The calculation puts the density at 10.53 g/cm3.

Cell: 4.2199 4.9273 4.2199 Å, 90.00 90.00 90.00°
With the nearest neighbours (Å) after each atom.
Element x y z (fractional)
Ni 0.0000 0.0000 0.5000  2 Zn 2.11
Ni 0.5000 0.0000 0.0000  2 Zn 2.11
Zn 0.0000 0.0000 0.0000  4 Ni 2.11
Hf 0.0000 0.5000 0.0000  2 Zn 2.46
Pt 0.5000 0.5000 0.5000  4 Hf 2.98, 8 Ni 3.24